Density functional theory data (PBE) for a relaxed structure of PmSi3Ir.

extended XYZ file:
```
20
Lattice="7.8778 0.0000 0.0000 0.0000 5.7209 0.0000 -7.5115 0.0000 8.1319" Properties=species:S:1:pos:R:3 pbc="T T T"
Pm 0.4539 1.3718 1.5013
Pm -3.3019 1.4887 5.5673
Pm 3.6681 4.2322 2.5646
Pm -0.0877 4.3492 6.6306
Si -1.0528 4.2459 1.5655
Si -4.8086 4.3355 5.6314
Si 1.2880 4.1593 0.8980
Si -2.4677 4.4221 4.9640
Si -3.1975 3.9028 7.5206
Si 0.5583 4.6786 3.4547
Si -0.1920 1.0423 4.6772
Si 3.5637 1.8182 0.6112
Si 2.8339 1.2989 3.1679
Si -0.9218 1.5616 7.2339
Si 5.1748 1.3854 2.5005
Si 1.4190 1.4751 6.5664
Ir -1.2515 2.9332 3.5832
Ir -5.0073 5.6482 7.6491
Ir 5.3735 0.0727 0.4828
Ir 1.6177 2.7877 4.5487
```

Output
Spin magnetization: 0.0 Bohr magnetons per cell
ΔE_f (raw): -0.646 eV/atom
V: 91.62 Å³/f.u.
Polymorph energy (0 for the lowest one): 165 meV per atom
Space-group type: P2_1/c (14)